Compound: YBe2As
Source: Alexandria
Functional: GGA-PBEsol
Structure: relaxed

Cell and atoms, written as extended XYZ:
```
4
Lattice="3.945 0.000 0.000 0.000 3.949 0.000 0.000 0.000 3.949" Properties=species:S:1:pos:R:3 pbc="T T T"
Y 1.973 1.974 1.974
As 1.973 0.000 0.000
Be 0.000 0.000 1.974
Be 0.000 1.974 0.000
```

Calculated values
- formation energy (eV per atom) = -0.1268
- magnetization (μB per cell) = 0.0

Compound: BeZnAs2
Source: Alexandria
Functional: GGA-PBEsol
Structure: relaxed

Cell and atoms, written as extended XYZ:
```
4
Lattice="3.563 0.000 0.000 1.781 4.388 -0.027 1.781 1.714 4.040" Properties=species:S:1:pos:R:3 pbc="T T T"
As 3.563 1.273 0.837
Zn 1.781 3.051 2.007
As 3.563 4.830 3.176
Be 1.781 0.000 0.000
```

Calculated values
- formation energy (eV per atom) = 0.3146
- magnetization (μB per cell) = 0.0